1.
Material: Tb3Sm2DyAs6
Method: DFT, PBE
State: relaxed

Final energy ... -6.1862 eV per atom

Unit cell a=9.303 b=9.303 c=8.320 alpha=102.91 beta=102.91 gamma=25.86
Sites, in units of the cell vectors:
Tb1 0.000 0.000 0.000
Tb2 0.333 0.333 0.666
Tb3 0.667 0.667 0.334
Sm1 0.334 0.334 0.167
Sm2 0.666 0.666 0.833
Dy1 0.000 0.000 0.500
As1 0.166 0.166 0.086
As2 0.166 0.166 0.580
As3 0.499 0.499 0.748
As4 0.501 0.501 0.252
As5 0.834 0.834 0.420
As6 0.834 0.834 0.914

---

2.
Material: Tb2Sm3DyAs6
Method: DFT, PBE
State: relaxed

Final energy ... -6.1920 eV per atom

Unit cell a=9.330 b=9.330 c=8.345 alpha=102.90 beta=102.90 gamma=25.86
Sites, in units of the cell vectors:
Tb1 0.167 0.167 0.333
Tb2 0.833 0.833 0.667
Sm1 0.167 0.167 0.833
Sm2 0.500 0.500 0.500
Sm3 0.833 0.833 0.167
Dy1 0.500 0.500 0.000
As1 0.001 0.001 0.247
As2 0.332 0.332 0.419
As3 0.335 0.335 0.914
As4 0.665 0.665 0.086
As5 0.668 0.668 0.581
As6 0.999 0.999 0.753

---

Number 1: total magnetization 0.0 μB per formula unit. Number 2: total magnetization 0.0 μB per formula unit.